1.
A plane-wave DFT calculation with PBE was carried out for CaTbY after structural relaxation.

The structure in extended XYZ format:
```
3
Lattice="3.632 0.000 0.000 -1.816 3.146 0.000 0.000 0.000 9.111" Properties=species:S:1:pos:R:3 pbc="T T T"
Tb 1.816 1.049 3.169
Ca 0.000 0.000 9.108
Y 0.000 2.097 5.945
```

Output
calculated total energy = -4.30 eV per atom
magnetic moment = 0.0002 μB per atom
offset from the most stable computed form = 30 meV/atom
DFT formation energy = 69.9 meV per atom

2.
A plane-wave DFT calculation with PBE was carried out for CaTb4Y15 after structural relaxation.

The structure in extended XYZ format:
```
20
Lattice="-4.233 2.750 0.453 -2.773 -4.238 -0.187 1.389 -2.026 25.279" Properties=species:S:1:pos:R:3 pbc="T T T"
Tb 1.109 -1.617 20.180
Tb 0.833 -1.214 15.152
Tb 0.557 -0.812 10.127
Tb 0.280 -0.409 5.099
Y -1.241 -2.331 2.550
Y -2.670 -1.958 15.287
Y -0.142 -3.933 22.541
Y -0.967 -2.730 7.532
Y -1.422 0.362 12.866
Y -0.872 -0.439 22.862
Y -1.697 0.764 7.852
Y -1.971 1.163 2.871
Y -2.393 -2.362 20.326
Y -3.503 -0.744 0.133
Y -1.146 -0.040 17.880
Y -0.416 -3.534 17.560
Y -0.692 -3.132 12.546
Y -3.223 -1.151 5.219
Y -2.946 -1.555 10.257
Ca 0.000 0.000 0.000
```

Output
calculated total energy = -5.83 eV per atom
magnetic moment = 0.0000 μB per atom
DFT formation energy = 40.3 meV per atom

3.
A plane-wave DFT calculation with PBE was carried out for CaTb6Y after structural relaxation.

The structure in extended XYZ format:
```
8
Lattice="-5.060 -0.190 -0.425 -2.806 -3.262 4.487 -3.290 6.835 5.730" Properties=species:S:1:pos:R:3 pbc="T T T"
Ca -3.048 1.786 5.108
Tb -5.781 1.401 7.441
Tb -5.455 -0.915 4.594
Tb -5.701 4.297 5.197
Tb -8.431 3.829 7.525
Tb -2.725 -0.447 2.266
Tb -5.375 1.982 2.350
Y 0.000 0.000 0.000
```

Output
calculated total energy = -4.47 eV per atom
magnetic moment = 0.0000 μB per atom
DFT formation energy = 62.4 meV per atom

4.
A plane-wave DFT calculation with PBE was carried out for CaTbY4 after structural relaxation.

The structure in extended XYZ format:
```
12
Lattice="-3.082 -1.528 -1.181 3.042 -5.506 -0.814 -4.976 -2.784 16.586" Properties=species:S:1:pos:R:3 pbc="T T T"
Y -3.722 -8.278 9.238
Y 0.297 -6.126 1.532
Y -3.666 -4.783 10.171
Y -1.294 -1.541 5.353
Y -5.370 -7.187 12.126
Y -1.350 -5.036 4.420
Y -5.314 -3.692 13.059
Y 0.353 -2.631 2.465
Ca -4.029 -2.156 7.702
Ca 0.000 0.000 0.000
Tb -0.020 -3.517 -0.997
Tb -0.967 -4.145 7.886
```

Output
calculated total energy = -5.36 eV per atom
magnetic moment = 0.0000 μB per atom
DFT formation energy = 51.9 meV per atom